La2InAg after structural relaxation, computed with PBEsol.

Calculated values
* energy of formation from the pure elements: -307 meV/atom
* calculated total energy: -18.22 eV/cell
* M_tot: 0.00 μB/f.u.

a b c (Å): 4.594 4.594 5.956
angles (deg): 112.69 112.69 90.00
Atoms (fractional coordinates):
In1 0.250 0.750 0.500
Ag1 0.500 0.500 0.000
La1 0.000 0.000 0.000
La2 0.750 0.250 0.500